1.
First-principles (PBE-GGA) data for crystalline ZrInAg2 at its relaxed geometry, as listed in Alexandria.

Summary:
Total energy   -16.84 eV per cell

Cell lengths 9.800, 9.800, 9.800 Å; angles 18.53, 18.53, 18.53 degrees
Positions (direct):
Zr 0.000 0.000 0.000
In 0.756 0.756 0.756
Ag 0.250 0.250 0.250
Ag 0.504 0.504 0.504

***

2.
First-principles (PBE-GGA) data for crystalline MnHPt2Rh at its relaxed geometry, as listed in Alexandria.

Summary:
Excess energy over the best structure of this formula in the dataset   50.7 meV per atom

Cell lengths 3.914, 3.914, 4.057 Å; angles 90.00, 90.00, 90.00 degrees
Positions (direct):
Mn 0.000 0.000 0.000
H 0.000 0.000 0.500
Pt 0.000 0.500 0.500
Pt 0.500 0.000 0.500
Rh 0.500 0.500 0.000

***

3.
First-principles (PBE-GGA) data for crystalline La6Ge2P3Cl at its relaxed geometry, as listed in Alexandria.

Summary:
E_form (uncorrected)   -1.38 eV per atom

Cell lengths 9.665, 9.665, 8.734 Å; angles 103.33, 103.33, 25.53 degrees
Positions (direct):
La 0.002 0.002 0.234
La 0.329 0.329 0.421
La 0.334 0.334 0.912
La 0.666 0.666 0.088
La 0.671 0.671 0.579
La 0.998 0.998 0.766
Ge 0.163 0.163 0.827
Ge 0.837 0.837 0.173
P 0.164 0.164 0.335
P 0.500 0.500 0.000
P 0.836 0.836 0.665
Cl 0.500 0.500 0.500

***

4.
First-principles (PBE-GGA) data for crystalline V2Cd2In at its relaxed geometry, as listed in Alexandria.

Summary:
Excess energy over the best structure of this formula in the dataset   81.9 meV per atom

Cell lengths 6.875, 6.875, 6.875 Å; angles 145.98, 145.98, 48.87 degrees
Positions (direct):
V 0.076 0.076 0.000
V 0.924 0.924 0.000
Cd 0.250 0.750 0.500
Cd 0.750 0.250 0.500
In 0.500 0.500 0.000

***

| no. | density (g/cm³) |
| --- | --- |
| 1 | 8.434 |
| 2 | 14.669 |
| 3 | 5.380 |
| 4 | 7.240 |